Density functional theory data (PBE) for a relaxed structure of TaAgMo2.

ρ ... 11.90 g cm⁻³
Space group ... F-43m (216)
Uncorrected energy ... -8.6972 eV per atom
Formation enthalpy at 0 K ... 1.584 eV per formula unit
Total magnetization ... 0.01 μB/f.u.

Unit cell a=4.5610 b=4.5610 c=4.5610 alpha=60.00 beta=60.00 gamma=60.00
Sites, in units of the cell vectors:
Ta  0.0000  0.0000  0.0000
Ag  0.7500  0.7500  0.7500
Mo  0.5000  0.5000  0.5000
Mo  0.2500  0.2500  0.2500